No. 1
A relaxed structure of SmHo2BiC, computed with PBE.

The structure belongs to space group P4/mmm (No. 123); the cell edges are 4.891, 4.891 and 5.083 Å and the angles 90.00°, 90.00° and 90.00°. The asymmetric unit holds Sm at (0.000, 0.000, 0.000), Ho at (0.000, 0.500, 0.500), Bi at (0.500, 0.500, 0.000) and C at (0.000, 0.000, 0.500).

For the total magnetization, the calculation gives 0.000 Bohr magnetons per cell. The value obtained for the density of states at the Fermi level is 3.14 states/eV/cell. The calculation puts the formation enthalpy at 0 K at -249 kJ/mol of formula units. The value obtained for the final energy is -5.91 eV/atom.


No. 2
A relaxed structure of SrBiH2, computed with PBE.

The structure belongs to space group Fm-3m (No. 225); the cell edges are 6.615, 6.615 and 6.615 Å and the angles 90.00°, 90.00° and 90.00°. The asymmetric unit holds Sr at (0.000, 0.000, 0.000), Bi at (0.000, 0.000, 0.500) and H at (0.250, 0.250, 0.250).

For the total magnetization, the calculation gives 0.000 Bohr magnetons per cell. The value obtained for the density of states at the Fermi level is 8.44 states/eV/cell. The value obtained for the final energy is -2.99 eV/atom.


No. 3
A relaxed structure of Ba2HgN, computed with PBE.

The structure belongs to space group P4/mmm (No. 123); the cell edges are 3.602, 3.602 and 8.407 Å and the angles 90.00°, 90.00° and 90.00°. The asymmetric unit holds Ba at (0.000, 0.000, 0.184), Hg at (0.500, 0.500, 0.500) and N at (0.500, 0.500, 0.000).

For the total magnetization, the calculation gives 0.000 Bohr magnetons per cell. The value obtained for the density of states at the Fermi level is 2.05 states/eV/cell. The value obtained for the final energy is -3.32 eV/atom. The calculation puts the formation energy without anion corrections at -0.2053 eV/atom.


No. 4
A relaxed structure of Dy3Al3Hg, computed with PBE.

The structure belongs to space group C2/m (No. 12); the cell edges are 10.986, 4.528 and 14.384 Å and the angles 90.00°, 109.24° and 90.00°. The asymmetric unit holds Dy at (0.031, 0.000, 0.377), Dy at (0.102, 0.000, 0.922), Dy at (0.237, 0.000, 0.218), Al at (0.027, 0.500, 0.228), Al at (0.109, 0.500, 0.073), Al at (0.126, 0.500, 0.544) and Hg at (0.245, 0.500, 0.389).

For the total magnetization, the calculation gives 0.003 Bohr magnetons per cell. The value obtained for the density of states at the Fermi level is 20.33 states/eV/cell. The calculation puts the formation enthalpy at 0 K at -284 kJ/mol of formula units. The value obtained for the final energy is -4.04 eV/atom.